# PBE-GGA Tb4Y5Tl, optimized geometry
data_Tb4Y5Tl
_cell_length_a 3.584
_cell_length_b 3.584
_cell_length_c 24.409
_cell_angle_alpha 90.00
_cell_angle_beta 90.00
_cell_angle_gamma 90.00
_space_group_name_H-M_alt 'P 1'
_space_group_IT_number 1
_space_group_name_Hall 'P 1'
loop_
_atom_site_label
_atom_site_type_symbol
_atom_site_fract_x
_atom_site_fract_y
_atom_site_fract_z
Y1 Y 0.500 0.500 0.706
Tb1 Tb 0.000 0.000 0.810
Tl1 Tl 0.000 0.000 0.000
Y2 Y 0.500 0.500 0.294
Y3 Y 0.500 0.500 0.913
Y4 Y 0.500 0.500 0.500
Tb2 Tb 0.000 0.000 0.397
Tb3 Tb 0.000 0.000 0.190
Tb4 Tb 0.000 0.000 0.603
Y5 Y 0.500 0.500 0.087
# E_form   -0.060 eV/atom
# Calculated density   6.8 g/cm³
# SG   P4/mmm